[1]
CrCuPb2 after structural relaxation, computed with PBE.

POSCAR file:
```
CrCuPb2
1.0
3.5434 0.1644 0.0000
-0.1050 3.5457 0.0000
0.0000 0.0000 6.9325
Pb Cr Cu
2 1 1
Cartesian
0.0000 0.0000 6.8680
0.0000 0.0000 3.5306
1.7192 1.8550 1.7331
1.7192 1.8550 5.1993
```

M_tot: 4.024 μB per cell
E: -4.81 eV per atom
ΔH_f (0 K): 0.475 eV/atom



[2]
InP after structural relaxation, computed with PBE.

POSCAR file:
```
InP
1.0
-6.5355 -2.8099 -1.4284
-2.5700 -6.2335 -2.6807
3.9376 3.9758 4.6192
In P
2 2
Cartesian
-2.7711 -3.6561 -0.9202
-2.3969 -1.4115 1.4302
0.5023 -2.2131 1.2177
-5.6703 -2.8545 -0.7076
```

M_tot: 0.000 μB per cell
E: -3.95 eV per atom
ΔH_f (0 K): 0.128 eV/atom



[3]
CsCe4Ag3S12 after structural relaxation, computed with PBE.

POSCAR file:
```
CsCe4Ag3S12
1.0
-5.1085 1.4074 6.9385
7.6885 -3.1806 2.6441
1.2682 7.5183 -4.2530
Ag S Ce Cs
3 12 4 1
Cartesian
-1.9201 4.4628 1.3428
1.2900 -0.8866 4.7913
4.4784 2.1688 -0.8044
1.1103 0.2900 6.9628
3.3014 1.0925 1.0898
6.5197 2.6512 0.5117
3.6650 4.8180 1.8101
0.1832 0.9271 3.5195
0.5469 4.6526 4.2399
3.5781 2.1593 4.7389
-2.6715 3.0940 4.8180
2.7380 5.4551 -1.6332
0.2701 3.5858 0.5908
-1.1097 6.7930 1.5558
4.9580 -1.0479 3.7739
1.9241 2.8726 2.6648
-2.5542 0.7037 3.4693
3.8443 -1.5903 1.3220
0.6341 3.7591 -2.1265
0.0000 0.0000 0.0000
```

M_tot: 0.002 μB per cell
ΔE_f (raw): -999 meV per atom
E: -5.13 eV per atom



[4]
YVSeI2 after structural relaxation, computed with PBE.

POSCAR file:
```
YVSeI2
1.0
-0.0118 -4.3605 -2.5030
3.1691 -2.6681 4.6332
-4.3251 -1.2675 2.2284
Y Se I V
1 1 2 1
Cartesian
1.5846 -1.3341 2.3166
-0.5839 -4.1481 2.1793
-2.1625 -0.6338 1.1142
-0.0059 -2.1802 -1.2515
0.0000 0.0000 0.0000
```

M_tot: 1.732 μB per cell
ΔE_f (raw): 46 meV per atom
E: -4.39 eV per atom



[5]
LiPr2Sb2 after structural relaxation, computed with PBE.

POSCAR file:
```
LiPr2Sb2
1.0
-4.4354 2.0034 4.3492
-4.5602 0.3007 -4.7890
2.8255 -7.4523 1.4167
Sb Pr Li
4 4 2
Cartesian
-3.7489 -1.2676 -3.2393
-2.4211 -3.8806 4.2162
-2.3508 -4.7407 -0.2136
-3.8192 -0.4075 1.1905
-4.7120 -3.4490 1.6811
-1.4580 -1.6991 -0.7042
0.0864 -4.6209 2.2167
-6.2565 -0.5273 -1.2398
-3.3889 0.6512 -1.3072
-5.6066 1.6529 0.8674
```

M_tot: 0.000 μB per cell
ΔE_f (raw): -963 meV per atom
E: -4.91 eV per atom



[6]
PaGa5Tc after structural relaxation, computed with PBE.

POSCAR file:
```
PaGa5Tc
1.0
4.4394 0.0000 0.0000
0.0000 4.4394 0.0000
0.0000 0.0000 6.7433
Ga Tc Pa
5 1 1
Cartesian
2.2197 0.0000 4.6835
0.0000 2.2197 4.6835
2.2197 0.0000 2.0598
2.2197 2.2197 0.0000
0.0000 2.2197 2.0598
0.0000 0.0000 3.3717
0.0000 0.0000 0.0000
```

M_tot: 0.000 μB per cell
E: -5.33 eV per atom
ΔH_f (0 K): -0.330 eV/atom



[7]
K2CaGe2 after structural relaxation, computed with PBE.

POSCAR file:
```
K2CaGe2
1.0
-3.2353 2.7796 -1.7863
-1.6392 -3.5210 -2.5100
-7.0229 -2.1655 3.3643
K Ge Ca
2 2 1
Cartesian
-6.3477 0.1217 -0.2851
-5.5497 -3.0286 -0.6469
-3.1761 -0.6599 -1.2599
-8.7213 -2.2470 0.3280
0.0000 0.0000 0.0000
```

M_tot: 0.000 μB per cell
E: -2.77 eV per atom
ΔH_f (0 K): -0.083 eV/atom



[8]
Hf2PaTi2 after structural relaxation, computed with PBE.

POSCAR file:
```
Hf2PaTi2
1.0
4.4689 0.2052 1.8715
0.3110 4.4655 1.8830
2.1273 2.0675 7.1137
Ti Hf Pa
2 2 1
Cartesian
1.5446 1.5103 1.8119
5.3626 5.2279 9.0564
1.2191 3.2665 4.4984
3.2981 1.1363 4.4926
0.0000 0.0000 0.0000
```

M_tot: 0.000 μB per cell
E: -8.71 eV per atom
ΔH_f (0 K): 0.324 eV/atom